Record 1
## FeCo (PBE-GGA)

Data for FeCo after structural relaxation.

Summary:
crystal system = orthorhombic
total magnetization = 16.652 μB/cell
DFT total energy = -7.731 eV per atom
symmetry = Cmmm, No. 65
E_form = 0.05 eV per atom

Unit cell a=6.1961 b=6.1961 c=2.4936 alpha=90.00 beta=90.00 gamma=107.99
Each line ends with the local moment (μB).
Fractional coordinates of all 8 atoms:
Fe (0.6228, 0.3772, 0.5000)  2.56
Fe (0.5000, 0.0000, 0.0000)  2.53
Fe (0.3772, 0.6228, 0.5000)  2.56
Fe (0.0000, 0.5000, 0.0000)  2.53
Co (0.2403, 0.2403, 0.0000)  1.66
Co (0.7597, 0.7597, 0.0000)  1.66
Co (0.1235, 0.8765, 0.5000)  1.63
Co (0.8765, 0.1235, 0.5000)  1.63


Record 2
## Y4Er7In (PBE-GGA)

Data for Y4Er7In after structural relaxation.

Summary:
crystal system = monoclinic
total magnetization = 0.000 μB/cell
DFT total energy = -4.846 eV per atom
symmetry = C2/m, No. 12
E_form = 0.20 eV per atom

Unit cell a=5.8375 b=11.5036 c=6.6918 alpha=80.28 beta=64.14 gamma=75.30
Fractional coordinates of all 12 atoms:
Er (0.9043, 0.2797, 0.9116)
Er (0.6303, 0.5243, 0.2152)
Er (0.3697, 0.4757, 0.7848)
Er (0.0957, 0.7203, 0.0884)
Er (0.2009, 0.0790, 0.5192)
Er (0.5000, 0.0000, 0.0000)
Er (0.7991, 0.9210, 0.4808)
Y (0.1501, 0.3771, 0.3228)
Y (0.8499, 0.6229, 0.6772)
Y (0.6308, 0.2290, 0.5093)
Y (0.3692, 0.7710, 0.4907)
In (0.0000, 0.0000, 0.0000)


Record 3
## ZnMo3 (PBE-GGA)

Data for ZnMo3 after structural relaxation.

Summary:
crystal system = monoclinic
total magnetization = 0.000 μB/cell
DFT total energy = -8.318 eV per atom
symmetry = P2/m, No. 10
E_form = 0.12 eV per atom

Unit cell a=2.6701 b=4.4664 c=5.3024 alpha=90.00 beta=79.08 gamma=90.00
Fractional coordinates of all 4 atoms:
Mo (0.4905, 0.0000, 0.4993)
Mo (0.0095, 0.0000, 0.0007)
Mo (0.2500, 0.5000, 0.2500)
Zn (0.7500, 0.5000, 0.7500)


Record 4
## NaCd2Pt (PBE-GGA)

Data for NaCd2Pt after structural relaxation.

Summary:
crystal system = tetragonal
total magnetization = 0.000 μB/cell
DFT total energy = -2.467 eV per atom
symmetry = P4/mmm, No. 123
E_form = -0.17 eV per atom

Unit cell a=4.0723 b=4.3619 c=4.3619 alpha=90.00 beta=90.00 gamma=90.00
Fractional coordinates of all 4 atoms:
Cd (0.0000, 0.5000, 0.0000)
Cd (0.0000, 0.0000, 0.5000)
Pt (0.5000, 0.0000, 0.0000)
Na (0.5000, 0.5000, 0.5000)


Record 5
## Pm2Th2Mg (PBE-GGA)

Data for Pm2Th2Mg after structural relaxation.

Summary:
crystal system = tetragonal
total magnetization = 0.000 μB/cell
DFT total energy = -5.219 eV per atom
symmetry = I4/mmm, No. 139
E_form = -0.03 eV per atom

Unit cell a=3.6223 b=3.6223 c=12.1957 alpha=98.54 beta=98.54 gamma=90.00
Fractional coordinates of all 5 atoms:
Mg (0.0000, 0.0000, 0.0000)
Pm (0.4055, 0.4055, 0.8110)
Pm (0.5945, 0.5945, 0.1890)
Th (0.1993, 0.1993, 0.3987)
Th (0.8007, 0.8007, 0.6013)


Record 6
## Hf2AlIn (PBE-GGA)

Data for Hf2AlIn after structural relaxation.

Summary:
crystal system = tetragonal
total magnetization = 0.000 μB/cell
DFT total energy = -6.865 eV per atom
symmetry = P4/mmm, No. 123
E_form = -0.27 eV per atom

Unit cell a=3.0446 b=3.0446 c=8.7382 alpha=90.00 beta=90.00 gamma=90.00
Fractional coordinates of all 4 atoms:
Hf (0.0000, 0.0000, 0.7717)
Hf (0.0000, 0.0000, 0.2283)
Al (0.5000, 0.5000, 0.0000)
In (0.5000, 0.5000, 0.5000)


- Which value of E_form does entry 1 give?
  0.05 eV per atom


- What is the DFT total energy in the second record?
  -4.846 eV per atom


- What is the E_form in the third record?
  0.12 eV per atom